VASP calculation (GGA-PBE) on ScBe2TlAg after structural relaxation.

abc: 5.007 5.007 5.255
angles: 90.00 90.00 90.00
Sites, in units of the cell vectors:
Sc: 0.000 0.000 0.000
Be: 0.000 0.500 0.000
Be: 0.500 0.000 0.000
Tl: 0.500 0.500 0.500
Ag: 0.000 0.000 0.500

D(E_F) ... 1.100 states/eV/atom
Crystal system ... tetragonal
Calculated formation energy ... 29.397 kcal/mol of atoms
Magnetic moment ... 0.630 μB/f.u.